No. 1
Density functional theory data (PBE-GGA) for a geometry-optimized KAg2Au structure.

The final energy comes out at -10.49 eV per formula unit. Its crystal system is trigonal. For the formation energy, the calculation gives -104.2 meV/atom. The energy above the lowest structure with this stoichiometry comes out at 0 meV per atom. The magnetic moment comes out at 0.00 μB/cell.

The structure belongs to space group R-3m (No. 166, hexagonal axes); the cell edges are 5.8301, 5.8301 and 28.5866 Å and the angles 90.00°, 90.00° and 120.00°. Symmetry generates all atoms from K at (0.0000, 0.0000, 0.0000), K at (0.0000, 0.0000, 0.1432), Ag at (0.0010, 0.5005, 0.0810), Au at (0.0000, 0.0000, 0.3324) and Au at (0.0000, 0.0000, 0.5000).


No. 2
Density functional theory data (PBE-GGA) for a geometry-optimized TbDyHo5 structure.

The final energy comes out at -30.75 eV per formula unit. Its crystal system is monoclinic. For the formation energy, the calculation gives 196.3 meV/atom. The energy above the lowest structure with this stoichiometry comes out at 0 meV per atom. The magnetic moment comes out at 0.00 μB/cell.

The structure belongs to space group C2/c (No. 15); the cell edges are 11.603, 6.689 and 12.103 Å and the angles 90.00°, 110.18° and 90.00°. Symmetry generates all atoms from Tb at (0.000, 0.028, 0.250), Dy at (0.250, 0.250, 0.000), Ho at (0.000, 0.415, 0.750), Ho at (0.079, 0.266, 0.501) and Ho at (0.219, 0.362, 0.247).


No. 3
Density functional theory data (PBE-GGA) for a geometry-optimized BaNa2Sr structure.

The final energy comes out at -2.15 eV per formula unit. Its crystal system is orthorhombic. For the formation energy, the calculation gives 1023.5 meV/atom. The energy above the lowest structure with this stoichiometry comes out at 1015 meV per atom. The magnetic moment comes out at 0.42 μB/cell.

The structure belongs to space group Immm (No. 71); the cell edges are 14.975, 15.775 and 21.201 Å and the angles 90.00°, 90.00° and 90.00°. Symmetry generates all atoms from Ba at (0.000, 0.000, 0.000), Na at (0.000, 0.255, 0.000) and Sr at (0.000, 0.500, 0.000).


No. 4
Density functional theory data (PBE-GGA) for a geometry-optimized TaTlNF2 structure.

The final energy comes out at -33.18 eV per formula unit. Its crystal system is tetragonal. The energy above the lowest structure with this stoichiometry comes out at 0 meV per atom. The magnetic moment comes out at 0.95 μB/cell.

The structure belongs to space group P4/mmm (No. 123); the cell edges are 4.363, 4.363 and 4.035 Å and the angles 90.00°, 90.00° and 90.00°. Symmetry generates all atoms from Ta at (0.000, 0.000, 0.000), Tl at (0.500, 0.500, 0.500), N at (0.000, 0.000, 0.500) and F at (0.000, 0.500, 0.000).


Among the records above, which one has the highest final energy?
BaNa2Sr


Which formula does entry 2 have?
TbDyHo5


Repeat the third record exactly.
Density functional theory data (PBE-GGA) for a geometry-optimized BaNa2Sr structure.

The final energy comes out at -2.15 eV per formula unit. Its crystal system is orthorhombic. For the formation energy, the calculation gives 1023.5 meV/atom. The energy above the lowest structure with this stoichiometry comes out at 1015 meV per atom. The magnetic moment comes out at 0.42 μB/cell.

The structure belongs to space group Immm (No. 71); the cell edges are 14.975, 15.775 and 21.201 Å and the angles 90.00°, 90.00° and 90.00°. Symmetry generates all atoms from Ba at (0.000, 0.000, 0.000), Na at (0.000, 0.255, 0.000) and Sr at (0.000, 0.500, 0.000).